An optimized crystal structure of SrSiP, computed with GGA-PBE.

Its volume is 334.5 Å³/cell. The uncorrected formation energy is 0.425 eV/atom. The value obtained for the density of states at the Fermi level is 10.8 states/eV per cell. Its total energy is -3.7467 eV per atom.

It has space group F-43m (No. 216), with a = 6.942 Å, b = 6.942 Å, c = 6.942 Å, α = 90.00°, β = 90.00° and γ = 90.00°. The distinct sites, in fractional coordinates, are Sr at (0.000, 0.000, 0.000), Si at (0.250, 0.250, 0.750) and P at (0.250, 0.250, 0.250).